Entry from OQMD: TmNi2Ge after structural relaxation (PBE).

- electronic total energy (eV/atom) = -5.515

CIF file:
```
data_TmNi2Ge
_space_group_name_H-M_alt 'P 1'
_space_group_IT_number 1
_cell_length_a 4.267
_cell_length_b 4.522
_cell_length_c 6.817
_cell_angle_alpha 90.00
_cell_angle_beta 90.00
_cell_angle_gamma 90.00
loop_
_space_group_symop_operation_xyz
'x,y,z'
loop_
_atom_site_label
_atom_site_type_symbol
_atom_site_fract_x
_atom_site_fract_y
_atom_site_fract_z
Tm1 Tm 0.000 0.060 0.000
Tm2 Tm 0.000 0.940 0.500
Ni1 Ni 0.000 0.486 0.741
Ni2 Ni 0.000 0.514 0.241
Ni3 Ni 0.500 0.203 0.697
Ni4 Ni 0.500 0.797 0.197
Ge1 Ge 0.500 0.309 0.331
Ge2 Ge 0.500 0.691 0.831
```


Entry from OQMD: TmNiGe after structural relaxation (PBE).

- electronic total energy (eV/atom) = -4.763

CIF file:
```
data_TmNiGe
_space_group_name_H-M_alt 'P 1'
_space_group_IT_number 1
_cell_length_a 4.509
_cell_length_b 4.509
_cell_length_c 4.509
_cell_angle_alpha 60.00
_cell_angle_beta 60.00
_cell_angle_gamma 60.00
loop_
_space_group_symop_operation_xyz
'x,y,z'
loop_
_atom_site_label
_atom_site_type_symbol
_atom_site_fract_x
_atom_site_fract_y
_atom_site_fract_z
Tm1 Tm 0.000 0.000 0.000
Ni1 Ni 0.250 0.250 0.250
Ge1 Ge 0.750 0.750 0.750
```


Entry from OQMD: Tm4Ni2Ge5 after structural relaxation (PBE).

- electronic total energy (eV/atom) = -5.500

CIF file:
```
data_Tm4Ni2Ge5
_space_group_name_H-M_alt 'P 1'
_space_group_IT_number 1
_cell_length_a 7.855
_cell_length_b 7.855
_cell_length_c 6.987
_cell_angle_alpha 108.02
_cell_angle_beta 108.02
_cell_angle_gamma 30.79
loop_
_space_group_symop_operation_xyz
'x,y,z'
loop_
_atom_site_label
_atom_site_type_symbol
_atom_site_fract_x
_atom_site_fract_y
_atom_site_fract_z
Tm1 Tm 0.086 0.086 0.377
Tm2 Tm 0.153 0.153 0.940
Tm3 Tm 0.847 0.847 0.060
Tm4 Tm 0.914 0.914 0.623
Ni1 Ni 0.280 0.280 0.380
Ni2 Ni 0.720 0.720 0.620
Ge1 Ge 0.298 0.298 0.743
Ge2 Ge 0.432 0.432 0.338
Ge3 Ge 0.500 0.500 0.000
Ge4 Ge 0.568 0.568 0.662
Ge5 Ge 0.702 0.702 0.257
```


Entry from OQMD: Tm3Ni2Ge3 after structural relaxation (PBE).

- electronic total energy (eV/atom) = -5.632

CIF file:
```
data_Tm3Ni2Ge3
_space_group_name_H-M_alt 'P 1'
_space_group_IT_number 1
_cell_length_a 5.500
_cell_length_b 5.500
_cell_length_c 13.953
_cell_angle_alpha 90.00
_cell_angle_beta 90.00
_cell_angle_gamma 135.40
loop_
_space_group_symop_operation_xyz
'x,y,z'
loop_
_atom_site_label
_atom_site_type_symbol
_atom_site_fract_x
_atom_site_fract_y
_atom_site_fract_z
Tm1 Tm 0.087 0.913 0.609
Tm2 Tm 0.087 0.913 0.891
Tm3 Tm 0.365 0.635 0.750
Tm4 Tm 0.635 0.365 0.250
Tm5 Tm 0.913 0.087 0.109
Tm6 Tm 0.913 0.087 0.391
Ni1 Ni 0.201 0.799 0.101
Ni2 Ni 0.201 0.799 0.399
Ni3 Ni 0.799 0.201 0.601
Ni4 Ni 0.799 0.201 0.899
Ge1 Ge 0.338 0.662 0.250
Ge2 Ge 0.377 0.623 0.538
Ge3 Ge 0.377 0.623 0.962
Ge4 Ge 0.623 0.377 0.038
Ge5 Ge 0.623 0.377 0.462
Ge6 Ge 0.662 0.338 0.750
```


Entry from OQMD: TmNi4Ge3 after structural relaxation (PBE).

- electronic total energy (eV/atom) = -5.486

CIF file:
```
data_TmNi4Ge3
_space_group_name_H-M_alt 'P 1'
_space_group_IT_number 1
_cell_length_a 5.041
_cell_length_b 3.980
_cell_length_c 5.849
_cell_angle_alpha 90.00
_cell_angle_beta 96.90
_cell_angle_gamma 90.00
loop_
_space_group_symop_operation_xyz
'x,y,z'
loop_
_atom_site_label
_atom_site_type_symbol
_atom_site_fract_x
_atom_site_fract_y
_atom_site_fract_z
Tm1 Tm 0.000 0.000 0.000
Ni1 Ni 0.066 0.500 0.666
Ni2 Ni 0.390 0.000 0.651
Ni3 Ni 0.507 0.000 0.194
Ni4 Ni 0.803 0.500 0.268
Ge1 Ge 0.303 0.500 0.338
Ge2 Ge 0.531 0.500 0.886
Ge3 Ge 0.841 0.000 0.516
```


Entry from OQMD: TmNi2Ge after structural relaxation (PBE).

- electronic total energy (eV/atom) = -5.620

CIF file:
```
data_TmNi2Ge
_space_group_name_H-M_alt 'P 1'
_space_group_IT_number 1
_cell_length_a 4.037
_cell_length_b 5.765
_cell_length_c 5.395
_cell_angle_alpha 90.00
_cell_angle_beta 90.00
_cell_angle_gamma 90.00
loop_
_space_group_symop_operation_xyz
'x,y,z'
loop_
_atom_site_label
_atom_site_type_symbol
_atom_site_fract_x
_atom_site_fract_y
_atom_site_fract_z
Tm1 Tm 0.000 0.090 0.000
Tm2 Tm 0.500 0.910 0.500
Ni1 Ni 0.000 0.275 0.505
Ni2 Ni 0.000 0.647 0.264
Ni3 Ni 0.500 0.353 0.764
Ni4 Ni 0.500 0.725 0.005
Ge1 Ge 0.000 0.612 0.778
Ge2 Ge 0.500 0.388 0.278
```


Entry from OQMD: Tm3NiGe5 after structural relaxation (PBE).

- electronic total energy (eV/atom) = -5.277

CIF file:
```
data_Tm3NiGe5
_space_group_name_H-M_alt 'P 1'
_space_group_IT_number 1
_cell_length_a 7.051
_cell_length_b 7.051
_cell_length_c 4.020
_cell_angle_alpha 90.00
_cell_angle_beta 90.00
_cell_angle_gamma 120.00
loop_
_space_group_symop_operation_xyz
'x,y,z'
loop_
_atom_site_label
_atom_site_type_symbol
_atom_site_fract_x
_atom_site_fract_y
_atom_site_fract_z
Tm1 Tm 0.000 0.608 0.000
Tm2 Tm 0.392 0.392 0.000
Tm3 Tm 0.608 0.000 0.000
Ni1 Ni 0.000 0.000 0.000
Ge1 Ge 0.000 0.233 0.500
Ge2 Ge 0.233 0.000 0.500
Ge3 Ge 0.333 0.667 0.500
Ge4 Ge 0.667 0.333 0.500
Ge5 Ge 0.767 0.767 0.500
```


Entry from OQMD: UNi2Ge2 after structural relaxation (PBE).

- electronic total energy (eV/atom) = -6.722

CIF file:
```
data_UNi2Ge2
_space_group_name_H-M_alt 'P 1'
_space_group_IT_number 1
_cell_length_a 5.603
_cell_length_b 5.603
_cell_length_c 5.603
_cell_angle_alpha 137.55
_cell_angle_beta 137.55
_cell_angle_gamma 61.60
loop_
_space_group_symop_operation_xyz
'x,y,z'
loop_
_atom_site_label
_atom_site_type_symbol
_atom_site_fract_x
_atom_site_fract_y
_atom_site_fract_z
U1 U 0.000 0.000 0.000
Ni1 Ni 0.250 0.750 0.500
Ni2 Ni 0.750 0.250 0.500
Ge1 Ge 0.374 0.374 0.000
Ge2 Ge 0.626 0.626 0.000
```


Entry from OQMD: Ni2GeW after structural relaxation (PBE).

- electronic total energy (eV/atom) = -7.083

CIF file:
```
data_Ni2GeW
_space_group_name_H-M_alt 'P 1'
_space_group_IT_number 1
_cell_length_a 4.199
_cell_length_b 4.199
_cell_length_c 4.199
_cell_angle_alpha 60.00
_cell_angle_beta 60.00
_cell_angle_gamma 60.00
loop_
_space_group_symop_operation_xyz
'x,y,z'
loop_
_atom_site_label
_atom_site_type_symbol
_atom_site_fract_x
_atom_site_fract_y
_atom_site_fract_z
Ni1 Ni 0.000 0.000 0.000
Ni2 Ni 0.250 0.250 0.250
Ge1 Ge 0.500 0.500 0.500
W1 W 0.750 0.750 0.750
```


Entry from OQMD: NiGeW2 after structural relaxation (PBE).

- electronic total energy (eV/atom) = -8.700

CIF file:
```
data_NiGeW2
_space_group_name_H-M_alt 'P 1'
_space_group_IT_number 1
_cell_length_a 4.362
_cell_length_b 4.362
_cell_length_c 4.362
_cell_angle_alpha 60.00
_cell_angle_beta 60.00
_cell_angle_gamma 60.00
loop_
_space_group_symop_operation_xyz
'x,y,z'
loop_
_atom_site_label
_atom_site_type_symbol
_atom_site_fract_x
_atom_site_fract_y
_atom_site_fract_z
Ni1 Ni 0.000 0.000 0.000
Ge1 Ge 0.750 0.750 0.750
W1 W 0.250 0.250 0.250
W2 W 0.500 0.500 0.500
```


Entry from OQMD: NiGeW after structural relaxation (PBE).

- offset from the most stable computed form (meV per atom) = 0.0
- electronic total energy (eV/atom) = -7.352

CIF file:
```
data_NiGeW
_space_group_name_H-M_alt 'P 1'
_space_group_IT_number 1
_cell_length_a 4.019
_cell_length_b 4.019
_cell_length_c 4.019
_cell_angle_alpha 60.00
_cell_angle_beta 60.00
_cell_angle_gamma 60.00
loop_
_space_group_symop_operation_xyz
'x,y,z'
loop_
_atom_site_label
_atom_site_type_symbol
_atom_site_fract_x
_atom_site_fract_y
_atom_site_fract_z
Ni1 Ni 0.000 0.000 0.000
Ge1 Ge 0.750 0.750 0.750
W1 W 0.250 0.250 0.250
```


Entry from OQMD: NiGe2W after structural relaxation (PBE).

- electronic total energy (eV/atom) = -6.412

CIF file:
```
data_NiGe2W
_space_group_name_H-M_alt 'P 1'
_space_group_IT_number 1
_cell_length_a 4.401
_cell_length_b 4.401
_cell_length_c 4.401
_cell_angle_alpha 60.00
_cell_angle_beta 60.00
_cell_angle_gamma 60.00
loop_
_space_group_symop_operation_xyz
'x,y,z'
loop_
_atom_site_label
_atom_site_type_symbol
_atom_site_fract_x
_atom_site_fract_y
_atom_site_fract_z
Ni1 Ni 0.000 0.000 0.000
Ge1 Ge 0.500 0.500 0.500
Ge2 Ge 0.750 0.750 0.750
W1 W 0.250 0.250 0.250
```


Entry from OQMD: NiGeW after structural relaxation (PBE).

- offset from the most stable computed form (meV per atom) = 213.5
- electronic total energy (eV/atom) = -7.138

CIF file:
```
data_NiGeW
_space_group_name_H-M_alt 'P 1'
_space_group_IT_number 1
_cell_length_a 4.156
_cell_length_b 4.156
_cell_length_c 4.156
_cell_angle_alpha 60.00
_cell_angle_beta 60.00
_cell_angle_gamma 60.00
loop_
_space_group_symop_operation_xyz
'x,y,z'
loop_
_atom_site_label
_atom_site_type_symbol
_atom_site_fract_x
_atom_site_fract_y
_atom_site_fract_z
Ni1 Ni 0.000 0.000 0.000
Ge1 Ge 0.500 0.500 0.500
W1 W 0.750 0.750 0.750
```


Entry from OQMD: Y2Ni2Ge after structural relaxation (PBE).

- electronic total energy (eV/atom) = -6.071

CIF file:
```
data_Y2Ni2Ge
_space_group_name_H-M_alt 'P 1'
_space_group_IT_number 1
_cell_length_a 8.260
_cell_length_b 8.260
_cell_length_c 8.260
_cell_angle_alpha 155.44
_cell_angle_beta 155.44
_cell_angle_gamma 35.01
loop_
_space_group_symop_operation_xyz
'x,y,z'
loop_
_atom_site_label
_atom_site_type_symbol
_atom_site_fract_x
_atom_site_fract_y
_atom_site_fract_z
Y1 Y 0.114 0.114 0.000
Y2 Y 0.886 0.886 0.000
Ni1 Ni 0.250 0.750 0.500
Ni2 Ni 0.750 0.250 0.500
Ge1 Ge 0.500 0.500 0.000
```


Entry from OQMD: Y6NiGe2 after structural relaxation (PBE).

- electronic total energy (eV/atom) = -6.466

CIF file:
```
data_Y6NiGe2
_space_group_name_H-M_alt 'P 1'
_space_group_IT_number 1
_cell_length_a 7.937
_cell_length_b 7.937
_cell_length_c 4.145
_cell_angle_alpha 90.00
_cell_angle_beta 90.00
_cell_angle_gamma 120.00
loop_
_space_group_symop_operation_xyz
'x,y,z'
loop_
_atom_site_label
_atom_site_type_symbol
_atom_site_fract_x
_atom_site_fract_y
_atom_site_fract_z
Y1 Y 0.000 0.249 0.000
Y2 Y 0.000 0.589 0.500
Y3 Y 0.249 0.000 0.000
Y4 Y 0.411 0.411 0.500
Y5 Y 0.589 0.000 0.500
Y6 Y 0.751 0.751 0.000
Ni1 Ni 0.000 0.000 0.500
Ge1 Ge 0.333 0.667 0.000
Ge2 Ge 0.667 0.333 0.000
```


Entry from OQMD: YNiGe after structural relaxation (PBE).

- electronic total energy (eV/atom) = -6.360

CIF file:
```
data_YNiGe
_space_group_name_H-M_alt 'P 1'
_space_group_IT_number 1
_cell_length_a 6.946
_cell_length_b 4.238
_cell_length_c 7.295
_cell_angle_alpha 90.00
_cell_angle_beta 90.00
_cell_angle_gamma 90.00
loop_
_space_group_symop_operation_xyz
'x,y,z'
loop_
_atom_site_label
_atom_site_type_symbol
_atom_site_fract_x
_atom_site_fract_y
_atom_site_fract_z
Y1 Y 0.007 0.250 0.207
Y2 Y 0.493 0.750 0.707
Y3 Y 0.507 0.250 0.293
Y4 Y 0.993 0.750 0.793
Ni1 Ni 0.191 0.750 0.419
Ni2 Ni 0.309 0.250 0.919
Ni3 Ni 0.691 0.750 0.081
Ni4 Ni 0.809 0.250 0.581
Ge1 Ge 0.198 0.250 0.589
Ge2 Ge 0.302 0.750 0.089
Ge3 Ge 0.698 0.250 0.911
Ge4 Ge 0.802 0.750 0.411
```


Entry from OQMD: YNiGe2 after structural relaxation (PBE).

- electronic total energy (eV/atom) = -5.503

CIF file:
```
data_YNiGe2
_space_group_name_H-M_alt 'P 1'
_space_group_IT_number 1
_cell_length_a 4.688
_cell_length_b 4.688
_cell_length_c 4.688
_cell_angle_alpha 60.00
_cell_angle_beta 60.00
_cell_angle_gamma 60.00
loop_
_space_group_symop_operation_xyz
'x,y,z'
loop_
_atom_site_label
_atom_site_type_symbol
_atom_site_fract_x
_atom_site_fract_y
_atom_site_fract_z
Y1 Y 0.000 0.000 0.000
Ni1 Ni 0.250 0.250 0.250
Ge1 Ge 0.500 0.500 0.500
Ge2 Ge 0.750 0.750 0.750
```


Entry from OQMD: YNiGe after structural relaxation (PBE).

- electronic total energy (eV/atom) = -5.394

CIF file:
```
data_YNiGe
_space_group_name_H-M_alt 'P 1'
_space_group_IT_number 1
_cell_length_a 4.590
_cell_length_b 4.590
_cell_length_c 4.590
_cell_angle_alpha 60.00
_cell_angle_beta 60.00
_cell_angle_gamma 60.00
loop_
_space_group_symop_operation_xyz
'x,y,z'
loop_
_atom_site_label
_atom_site_type_symbol
_atom_site_fract_x
_atom_site_fract_y
_atom_site_fract_z
Y1 Y 0.000 0.000 0.000
Ni1 Ni 0.250 0.250 0.250
Ge1 Ge 0.750 0.750 0.750
```


Entry from OQMD: YNiGe after structural relaxation (PBE).

- electronic total energy (eV/atom) = -6.134

CIF file:
```
data_YNiGe
_space_group_name_H-M_alt 'P 1'
_space_group_IT_number 1
_cell_length_a 4.376
_cell_length_b 4.376
_cell_length_c 4.376
_cell_angle_alpha 60.00
_cell_angle_beta 60.00
_cell_angle_gamma 60.00
loop_
_space_group_symop_operation_xyz
'x,y,z'
loop_
_atom_site_label
_atom_site_type_symbol
_atom_site_fract_x
_atom_site_fract_y
_atom_site_fract_z
Y1 Y 0.000 0.000 0.000
Ni1 Ni 0.750 0.750 0.750
Ge1 Ge 0.500 0.500 0.500
```


Entry from OQMD: YNiGe2 after structural relaxation (PBE).

- electronic total energy (eV/atom) = -5.501

CIF file:
```
data_YNiGe2
_space_group_name_H-M_alt 'P 1'
_space_group_IT_number 1
_cell_length_a 4.663
_cell_length_b 4.663
_cell_length_c 4.663
_cell_angle_alpha 60.00
_cell_angle_beta 60.00
_cell_angle_gamma 60.00
loop_
_space_group_symop_operation_xyz
'x,y,z'
loop_
_atom_site_label
_atom_site_type_symbol
_atom_site_fract_x
_atom_site_fract_y
_atom_site_fract_z
Y1 Y 0.000 0.000 0.000
Ni1 Ni 0.750 0.750 0.750
Ge1 Ge 0.250 0.250 0.250
Ge2 Ge 0.500 0.500 0.500
```